Material: Pm2Nd2Sm5
Method: DFT, PBE
State: relaxed

Computed properties:
The calculation puts the total energy at -81.87 eV per cell. For the formation energy, the calculation gives 1.70 eV/f.u. The value obtained for the spin magnetization is 0.00 μB/cell. For the volume, the calculation gives 34.90 Å³/atom. The excess energy over the best structure of this formula in the dataset is 53 meV/atom.

```
data_Pm2Nd2Sm5
_space_group_name_H-M_alt 'P 1'
_space_group_IT_number 1
_cell_length_a 9.581
_cell_length_b 9.581
_cell_length_c 9.581
_cell_angle_alpha 95.49
_cell_angle_beta 125.91
_cell_angle_gamma 108.53
loop_
_space_group_symop_operation_xyz
'x,y,z'
loop_
_atom_site_label
_atom_site_fract_x
_atom_site_fract_y
_atom_site_fract_z
Pm1 0.119 0.109 0.228
Pm2 0.119 0.391 0.511
Pm3 0.881 0.609 0.489
Pm4 0.881 0.891 0.772
Nd1 0.209 0.067 0.642
Nd2 0.424 0.567 0.358
Nd3 0.446 0.446 0.000
Nd4 0.446 0.946 0.500
Sm1 0.016 0.286 0.896
Sm2 0.016 0.620 0.231
Sm3 0.209 0.710 0.999
Sm4 0.390 0.120 0.104
Sm5 0.390 0.786 0.769
Sm6 0.636 0.329 0.568
Sm7 0.636 0.569 0.807
Sm8 0.711 0.210 0.001
Sm9 0.762 0.069 0.432
Sm10 0.762 0.829 0.193
```

---

Material: BaHgF5
Method: DFT, PBE
State: relaxed

Computed properties:
The calculation puts the total energy at -27.54 eV per cell. The value obtained for the spin magnetization is 0.44 μB/cell. For the volume, the calculation gives 22.15 Å³/atom. The energy relative to the elements, uncorrected is -2280 meV/atom.

```
data_BaHgF5
_space_group_name_H-M_alt 'P 1'
_space_group_IT_number 1
_cell_length_a 6.372
_cell_length_b 6.372
_cell_length_c 6.372
_cell_angle_alpha 138.98
_cell_angle_beta 108.45
_cell_angle_gamma 85.93
loop_
_space_group_symop_operation_xyz
'x,y,z'
loop_
_atom_site_label
_atom_site_fract_x
_atom_site_fract_y
_atom_site_fract_z
Ba1 0.000 0.000 0.000
Hg1 0.500 0.500 0.000
F1 0.192 0.500 0.692
F2 0.276 0.276 0.000
F3 0.500 0.000 0.500
F4 0.724 0.724 0.000
F5 0.808 0.500 0.308
```

---

Material: TaNb2InI
Method: DFT, PBE
State: relaxed

Computed properties:
The calculation puts the total energy at -25.92 eV per cell. The value obtained for the spin magnetization is 0.00 μB/cell. For the volume, the calculation gives 26.71 Å³/atom. The energy relative to the elements, uncorrected is 2072 meV/atom.

```
data_TaNb2InI
_space_group_name_H-M_alt 'P 1'
_space_group_IT_number 1
_cell_length_a 4.952
_cell_length_b 4.952
_cell_length_c 5.447
_cell_angle_alpha 90.00
_cell_angle_beta 90.00
_cell_angle_gamma 90.00
loop_
_space_group_symop_operation_xyz
'x,y,z'
loop_
_atom_site_label
_atom_site_fract_x
_atom_site_fract_y
_atom_site_fract_z
Ta1 0.000 0.000 0.000
Nb1 0.000 0.500 0.500
Nb2 0.500 0.000 0.500
In1 0.500 0.500 0.000
I1 0.500 0.500 0.500
```

---

Material: HfPbO3
Method: DFT, PBE
State: relaxed

Computed properties:
The calculation puts the total energy at -81.12 eV per cell. The value obtained for the spin magnetization is 0.00 μB/cell. For the volume, the calculation gives 17.98 Å³/atom. The energy relative to the elements, uncorrected is -2405 meV/atom.

```
data_HfPbO3
_space_group_name_H-M_alt 'P 1'
_space_group_IT_number 1
_cell_length_a 7.536
_cell_length_b 7.536
_cell_length_c 7.782
_cell_angle_alpha 107.70
_cell_angle_beta 107.70
_cell_angle_gamma 25.35
loop_
_space_group_symop_operation_xyz
'x,y,z'
loop_
_atom_site_label
_atom_site_fract_x
_atom_site_fract_y
_atom_site_fract_z
Hf1 0.168 0.168 0.338
Hf2 0.832 0.832 0.662
Pb1 0.376 0.376 0.079
Pb2 0.624 0.624 0.921
O1 0.210 0.210 0.111
O2 0.313 0.313 0.472
O3 0.416 0.416 0.797
O4 0.584 0.584 0.203
O5 0.687 0.687 0.528
O6 0.790 0.790 0.889
```